[1]
CuTc2Os2 | the Alexandria database | PBE | relaxed; DFT total energy = -9.133 eV per atom; formation enthalpy at 0 K = 325 meV per atom
1.0
7.508 0.000 0.000
0.000 7.508 0.000
0.000 0.000 2.742
Os Tc Cu
4 4 2
Cartesian
6.567 4.694 0.000 Os
2.813 6.567 0.000 Os
4.694 0.940 0.000 Os
0.940 2.813 0.000 Os
5.005 6.256 1.371 Tc
1.251 5.005 1.371 Tc
6.256 2.502 1.371 Tc
2.502 1.251 1.371 Tc
3.754 3.754 0.000 Cu
0.000 0.000 0.000 Cu

---

[2]
CuTc4Os | the Alexandria database | PBE | relaxed; DFT total energy = -8.948 eV per atom; formation enthalpy at 0 K = 517 meV per atom
1.0
3.652 -2.916 -1.895
1.395 -4.193 2.430
-1.128 -4.523 -1.924
Tc Os Cu
4 1 1
Cartesian
3.004 -5.015 0.087 Tc
2.446 -7.257 -0.866 Tc
0.635 -5.812 0.073 Tc
1.754 -5.179 -2.071 Tc
0.000 0.000 0.000 Os
0.980 -2.908 -0.347 Cu

---

[3]
Cu3TcOs | the Alexandria database | PBE | relaxed; E above lowest polymorph = 0.00 eV per formula unit; DFT total energy = -4.975 eV per atom; formation enthalpy at 0 K = 1802 meV per atom
1.0
4.580 0.000 0.000
0.000 4.580 0.000
0.000 0.000 4.580
Os Cu Tc
1 3 1
Cartesian
0.000 0.000 0.000 Os
0.000 2.290 0.000 Cu
2.290 0.000 0.000 Cu
0.000 0.000 2.290 Cu
2.290 2.290 2.290 Tc

---

[4]
CuTcOs | the Alexandria database | PBE | relaxed; E above lowest polymorph = 1.14 eV per formula unit; DFT total energy = -8.037 eV per atom; formation enthalpy at 0 K = 527 meV per atom
1.0
-2.256 2.850 1.595
-1.490 -2.360 -2.827
-0.349 -3.659 6.043
Os Tc Cu
2 2 2
Cartesian
-1.080 -0.743 -0.199 Os
-3.014 -2.426 5.010 Os
-0.631 -2.751 4.023 Tc
-3.463 -0.418 0.788 Tc
-1.891 -2.395 1.605 Cu
-2.203 -0.774 3.206 Cu

---

[5]
Cu2TcOs | the Alexandria database | PBE | relaxed; E above lowest polymorph = 0.75 eV per formula unit; DFT total energy = -7.122 eV per atom; formation enthalpy at 0 K = 325 meV per atom
1.0
-4.653 7.036 -2.907
-6.457 5.140 -3.389
-6.299 6.243 -0.972
Os Cu Tc
1 2 1
Cartesian
-4.352 4.605 -1.817 Os
-17.409 18.418 -7.267 Cu
-8.705 9.209 -3.633 Cu
-13.057 13.814 -5.450 Tc

---

[6]
Cu2TcOs | the Alexandria database | PBE | relaxed; E above lowest polymorph = 0.70 eV per formula unit; DFT total energy = -7.135 eV per atom; formation enthalpy at 0 K = 312 meV per atom
1.0
-4.601 -0.739 -0.062
-3.534 -2.583 1.598
-1.255 2.504 3.588
Os Tc Cu
1 1 2
Cartesian
-7.042 -0.613 3.843 Os
-2.347 -0.204 1.281 Tc
-1.263 2.497 3.585 Cu
-4.686 -0.402 2.565 Cu